1.
# ZnNi6Pt

ZnNi6Pt after structural relaxation (GGA-PBE, Alexandria).

CIF file:
```
data_ZnNi6Pt
_symmetry_space_group_name_H-M 'P 1'
_symmetry_Int_Tables_number 1
_symmetry_space_group_name_Hall 'P 1'
_cell_length_a 6.264
_cell_length_b 6.264
_cell_length_c 10.241
_cell_angle_alpha 90.00
_cell_angle_beta 90.00
_cell_angle_gamma 109.62
loop_
_atom_site_label
_atom_site_fract_x
_atom_site_fract_y
_atom_site_fract_z
_atom_site_occupancy
Ni1 0.624 0.872 0.122 1
Ni2 0.749 0.251 0.503 1
Ni3 0.378 0.126 0.627 1
Ni4 0.376 0.128 0.122 1
Zn1 0.250 0.750 0.750 1
Ni5 0.126 0.378 0.873 1
Ni6 0.128 0.376 0.378 1
Ni7 0.624 0.872 0.378 1
Ni8 0.251 0.749 0.503 1
Ni9 0.000 0.000 0.750 1
Ni10 0.872 0.624 0.378 1
Ni11 0.251 0.749 0.997 1
Ni12 0.622 0.874 0.873 1
Pt1 0.252 0.748 0.250 1
Zn2 0.500 0.500 0.503 1
Ni13 0.500 0.500 0.250 1
Ni14 0.128 0.376 0.122 1
Pt2 0.000 0.000 0.998 1
Ni15 0.874 0.622 0.627 1
Pt3 0.000 0.000 0.502 1
Ni16 0.749 0.251 0.997 1
Ni17 0.500 0.500 0.750 1
Ni18 0.622 0.874 0.627 1
Ni19 0.126 0.378 0.627 1
Ni20 0.376 0.128 0.378 1
Pt4 0.748 0.252 0.250 1
Ni21 0.378 0.126 0.873 1
Zn3 0.750 0.250 0.750 1
Ni22 0.000 0.000 0.250 1
Zn4 0.500 0.500 0.997 1
Ni23 0.874 0.622 0.873 1
Ni24 0.872 0.624 0.122 1
```

Summary:
Theoretical density ... 10.751 Mg/m³
Energy of formation from the pure elements ... -0.80 eV/f.u.
Total magnetic moment ... 13.13 Bohr magnetons per cell


2.
# ZnNiPt2

ZnNiPt2 after structural relaxation (GGA-PBE, Alexandria).

CIF file:
```
data_ZnNiPt2
_symmetry_space_group_name_H-M 'P 1'
_symmetry_Int_Tables_number 1
_symmetry_space_group_name_Hall 'P 1'
_cell_length_a 2.760
_cell_length_b 2.760
_cell_length_c 7.343
_cell_angle_alpha 90.00
_cell_angle_beta 90.00
_cell_angle_gamma 90.00
loop_
_atom_site_label
_atom_site_fract_x
_atom_site_fract_y
_atom_site_fract_z
_atom_site_occupancy
Ni1 0.500 0.500 0.739 1
Pt1 0.000 0.000 0.979 1
Pt2 0.500 0.500 0.265 1
Zn1 0.000 0.000 0.517 1
```

Summary:
Theoretical density ... 15.264 Mg/m³
Energy of formation from the pure elements ... -0.94 eV/f.u.
Total magnetic moment ... 0.00 Bohr magnetons per cell


3.
# ZnNi2Pt

ZnNi2Pt after structural relaxation (GGA-PBE, Alexandria).

CIF file:
```
data_ZnNi2Pt
_symmetry_space_group_name_H-M 'P 1'
_symmetry_Int_Tables_number 1
_symmetry_space_group_name_Hall 'P 1'
_cell_length_a 3.577
_cell_length_b 3.577
_cell_length_c 9.150
_cell_angle_alpha 78.73
_cell_angle_beta 78.73
_cell_angle_gamma 90.00
loop_
_atom_site_label
_atom_site_fract_x
_atom_site_fract_y
_atom_site_fract_z
_atom_site_occupancy
Zn1 0.500 0.500 0.000 1
Pt1 0.750 0.250 0.500 1
Ni1 0.375 0.375 0.750 1
Pt2 0.000 0.000 0.000 1
Ni2 0.875 0.875 0.750 1
Ni3 0.625 0.125 0.250 1
Ni4 0.125 0.625 0.250 1
Zn2 0.250 0.750 0.500 1
```

Summary:
Theoretical density ... 11.156 Mg/m³
Energy of formation from the pure elements ... 0.52 eV/f.u.
Total magnetic moment ... 0.60 Bohr magnetons per cell